# HoErSc4

Crystalline HoErSc4 at its relaxed geometry (GGA-PBE, the Alexandria database).

Unit cell a=6.2355 b=6.2355 c=6.2355 alpha=60.00 beta=60.00 gamma=60.00
Last column: nearest neighbours and their distance in Å.
Positions (direct):
Er1 0.2500 0.2500 0.2500  12 Sc 3.66, 4 Ho 3.82
Sc1 0.1250 0.6250 0.6250  6 Sc 3.12
Sc2 0.6250 0.6250 0.6250  6 Sc 3.12
Sc3 0.6250 0.6250 0.1250  6 Sc 3.12
Sc4 0.6250 0.1250 0.6250  6 Sc 3.12
Ho1 0.0000 0.0000 0.0000  12 Sc 3.66, 4 Er 3.82

Results
- Energy of formation: 1.4 eV/f.u.
- ΔE to the lowest computed polymorph: 0.2379 eV per atom
- E_tot: -5.517 eV/atom